Material: CeAgSO
Method: DFT, PBE-GGA
State: optimized geometry

The structure in POSCAR format:
```
CeAgSO
1.0
2.0035 1.1567 10.8731
-2.0035 1.1567 10.8731
0.0000 -2.3134 10.8731
Ce Ag S O
2 2 2 2
Cartesian
0.0000 0.0000 3.9592
0.0000 0.0000 28.6600
0.0000 0.0000 9.9768
0.0000 0.0000 22.6425
0.0000 0.0000 13.0258
0.0000 0.0000 19.5935
0.0000 0.0000 6.2865
0.0000 0.0000 26.3327
```

Calculated values
crystal system	trigonal
final energy	-6.353	eV/atom
DOS at the Fermi energy	10.07	states/eV per cell
formation energy without anion corrections	-1885	meV/atom
V	18.9	Å³/atom